1.
RbCaNi2Cl8: relaxed, PBE.

Cell and atoms, written as POSCAR:
```
RbCaNi2Cl8
1.0
3.255 1.879 9.411
-3.255 1.879 9.411
0.000 -3.759 9.411
Rb Ca Ni Cl
1 1 2 8
Cartesian
0.000 0.000 0.000 Rb
0.000 0.000 14.117 Ca
0.000 0.000 6.972 Ni
0.000 0.000 21.262 Ni
-1.122 -1.926 12.466 Cl
-2.229 0.008 15.768 Cl
0.000 0.000 9.139 Cl
-1.107 1.935 12.466 Cl
1.107 -1.935 15.768 Cl
0.000 0.000 19.095 Cl
2.229 -0.008 12.466 Cl
1.122 1.926 15.768 Cl
```

Fermi-level density of states = 8.8 states/eV/f.u.
M_tot = 0.417 μB/atom
E = -3.61 eV per atom

***

2.
Rb2CaNiCl6: relaxed, PBE.

Cell and atoms, written as POSCAR:
```
Rb2CaNiCl6
1.0
3.636 2.099 12.343
-3.636 2.099 12.343
0.000 -4.199 12.343
Rb Ca Ni Cl
4 2 2 12
Cartesian
0.000 0.000 4.780 Rb
0.000 0.000 10.943 Rb
0.000 0.000 26.087 Rb
0.000 0.000 32.250 Rb
0.000 0.000 15.278 Ca
0.000 0.000 21.752 Ca
0.000 0.000 0.000 Ni
0.000 0.000 18.515 Ni
-1.721 -0.994 17.115 Cl
0.000 -2.228 13.756 Cl
-1.929 1.114 13.756 Cl
-1.929 -1.114 23.273 Cl
0.000 -1.988 19.915 Cl
-1.721 0.994 19.915 Cl
1.721 -0.994 17.115 Cl
0.000 1.988 17.115 Cl
1.929 1.114 13.756 Cl
1.929 -1.114 23.273 Cl
0.000 2.228 23.273 Cl
1.721 0.994 19.915 Cl
```

M_tot = 0.188 μB/atom
distance to the lowest polymorph of the same formula = 0.000 eV/atom
E = -3.75 eV per atom

***

3.
Rb2CaNiCl6: relaxed, PBE.

Cell and atoms, written as POSCAR:
```
Rb2CaNiCl6
1.0
0.000 5.141 5.141
5.141 0.000 5.141
5.141 5.141 0.000
Rb Ca Ni Cl
2 1 1 6
Cartesian
2.571 2.571 2.571 Rb
7.712 7.712 7.712 Rb
0.000 0.000 0.000 Ca
5.141 5.141 5.141 Ni
5.141 5.141 2.717 Cl
5.141 2.717 5.141 Cl
7.566 5.141 5.141 Cl
2.717 5.141 5.141 Cl
5.141 7.566 5.141 Cl
5.141 5.141 7.566 Cl
```

Fermi-level density of states = 0.0 states/eV/f.u.
M_tot = 0.200 μB/atom
distance to the lowest polymorph of the same formula = 0.009 eV/atom
E = -3.74 eV per atom

***

no.,formation energy without anion corrections (meV/atom)
1,-1164
2,-1668
3,-1659